1.
Pa4AsSe3 | PBE | optimized geometry

Summary:
Energy relative to the elements, uncorrected = -1.17 eV/atom
D(E_F) = 16.76 states/eV per cell
Symmetry = No. 221

a b c (Å): 5.7718 5.7718 5.7718
angles (deg): 90.00 90.00 90.00
Last column: nearest neighbours and their distance in Å.
Element x y z (fractional)
Se 0.5000 0.5000 0.0000  6 Pa 2.89
Pa 0.0000 0.0000 0.5000  2 As 2.89, 4 Se 2.89
As 0.0000 0.0000 0.0000  6 Pa 2.89
Pa 0.0000 0.5000 0.0000  2 As 2.89, 4 Se 2.89
Pa 0.5000 0.0000 0.0000  2 As 2.89, 4 Se 2.89
Se 0.5000 0.0000 0.5000  6 Pa 2.89
Se 0.0000 0.5000 0.5000  6 Pa 2.89
Pa 0.5000 0.5000 0.5000  6 Se 2.89

---

2.
YMo2 | PBE | optimized geometry

Summary:
D(E_F) = 10.88 states/eV per cell
Symmetry = No. 189
E_form = 287 kJ/mol of formula units

a b c (Å): 7.0258 7.0258 4.4312
angles (deg): 90.00 90.00 120.00
Last column: nearest neighbours and their distance in Å.
Element x y z (fractional)
Mo 0.0000 0.4615 0.5000  2 Mo 2.74, 4 Y 3.02
Mo 0.4615 0.0000 0.5000  2 Mo 2.74, 4 Y 3.02
Y 0.6667 0.3333 0.0000  9 Mo 2.77-3.02
Y 0.0000 0.0000 0.5000  6 Mo 2.75
Y 0.3333 0.6667 0.0000  9 Mo 2.77-3.02
Mo 0.7678 0.7678 0.0000  4 Mo 2.74-2.83, 4 Y 2.75-2.77
Mo 0.0000 0.2322 0.0000  4 Mo 2.74-2.83, 4 Y 2.75-2.77
Mo 0.2322 0.0000 0.0000  4 Mo 2.74-2.83, 4 Y 2.75-2.77
Mo 0.5385 0.5385 0.5000  2 Mo 2.74, 4 Y 3.02

---

3.
InPd2Pb2 | PBE | optimized geometry

Summary:
D(E_F) = 3.24 states/eV per cell
Symmetry = No. 139
E_form = 11 kJ/mol of formula units
E above lowest polymorph = 237.0 meV per atom

a b c (Å): 4.7275 4.7275 6.6245
angles (deg): 69.10 69.10 90.00
Last column: nearest neighbours and their distance in Å.
Element x y z (fractional)
Pd 0.6149 0.6149 0.7702  1 Pd 2.63, 4 Pb 2.82
Pb 0.2500 0.7500 0.5000  4 Pd 2.82
Pd 0.3851 0.3851 0.2298  1 Pd 2.63, 4 Pb 2.82
Pb 0.7500 0.2500 0.5000  4 Pd 2.82
In 0.0000 0.0000 0.0000  8 Pd 3.59, 8 Pb 3.71

---

4.
CaGeHRu | PBE | optimized geometry

Summary:
D(E_F) = 5.51 states/eV per cell
Symmetry = No. 129
Final energy = -0.19377 hartree per atom

a b c (Å): 4.1428 4.1428 7.7474
angles (deg): 90.00 90.00 90.00
Last column: nearest neighbours and their distance in Å.
Element x y z (fractional)
Ca 0.0000 0.5000 0.3514  4 H 2.37
Ru 0.5000 0.5000 0.0000  4 Ge 2.44
Ru 0.0000 0.0000 0.0000  4 Ge 2.44
H 0.0000 0.0000 0.5000  4 Ca 2.37
H 0.5000 0.5000 0.5000  4 Ca 2.37
Ge 0.5000 0.0000 0.1663  4 Ru 2.44
Ge 0.0000 0.5000 0.8337  4 Ru 2.44
Ca 0.5000 0.0000 0.6486  4 H 2.37